(1)
LiTiTe3Pd | PBE | relaxed

POSCAR file:
```
LiTiTe3Pd
1.0
3.874 0.000 0.000
0.000 7.807 0.156
0.000 -2.922 9.552
Li Ti Te Pd
2 2 6 2
Cartesian
2.906 4.708 6.591
0.969 0.177 3.117
0.969 4.919 1.842
2.906 -0.034 7.867
0.969 4.166 4.465
2.906 6.863 1.425
2.906 2.942 1.249
2.906 0.720 5.243
0.969 1.943 8.459
0.969 -1.978 8.284
0.969 -1.071 5.765
2.906 5.956 3.943
```

## Properties
Uncorrected formation energy, eV per atom: -0.67
Raw total energy, eV/atom: -4.741
Symmetry: P2_1/m (11)
Total moment, μB/cell: 0.000


(2)
DyPuHf2 | PBE | relaxed

POSCAR file:
```
DyPuHf2
1.0
3.765 0.000 0.000
0.000 3.765 0.000
0.000 0.000 7.028
Dy Hf Pu
1 2 1
Cartesian
1.883 1.883 3.514
0.000 0.000 5.513
0.000 0.000 1.515
1.883 1.883 0.000
```

## Properties
Formation energy, eV per atom: 0.225
Raw total energy, eV/atom: -9.485
Symmetry: P4/mmm (123)
Total moment, μB/cell: 5.310


(3)
K5MgAs2 | PBE | relaxed

POSCAR file:
```
K5MgAs2
1.0
6.001 0.000 0.000
-3.001 5.197 0.000
0.000 0.000 19.729
K Mg As
10 2 4
Cartesian
0.000 0.000 7.204
0.000 0.000 2.661
3.001 1.732 4.932
0.000 0.000 17.068
3.001 1.732 0.994
0.000 3.465 14.797
0.000 3.465 18.735
0.000 3.465 10.858
3.001 1.732 8.871
0.000 0.000 12.525
0.000 3.465 4.932
3.001 1.732 14.797
3.001 1.732 12.247
0.000 3.465 2.383
0.000 3.465 7.482
3.001 1.732 17.346
```

## Properties
Formation energy, eV per atom: -0.319
Raw total energy, eV/atom: -2.366
Symmetry: P6_3/mmc (194)
Total moment, μB/cell: 1.051


(4)
CaAcIn2Hg4 | PBE | relaxed

POSCAR file:
```
CaAcIn2Hg4
1.0
-0.355 0.321 5.276
4.374 -0.308 2.973
2.273 8.744 2.281
Ca Ac In Hg
1 1 2 4
Cartesian
3.146 4.379 5.265
0.000 0.000 0.000
4.714 6.529 7.899
1.577 2.229 2.630
3.478 7.488 5.098
4.380 3.398 8.067
1.911 5.359 2.462
2.813 1.269 5.432
```

## Properties
Formation energy, eV per atom: -0.417
Raw total energy, eV/atom: -2.017
Symmetry: R-3m (166)
Total moment, μB/cell: 0.000


(5)
NbCo2PdW | PBE | relaxed

POSCAR file:
```
NbCo2PdW
1.0
-2.061 3.263 2.150
-4.224 -1.673 -1.509
-0.277 -2.547 3.599
Nb Co Pd W
1 2 1 1
Cartesian
0.000 0.000 0.000
-0.139 -1.274 1.799
-1.030 1.631 1.075
-3.281 -0.479 2.120
-2.112 -0.836 -0.755
```

## Properties
Formation energy, eV per atom: 1.728
Raw total energy, eV/atom: -6.757
Symmetry: P4/mmm (123)
Total moment, μB/cell: 2.729


(6)
ZnCrW2 | PBE | relaxed

POSCAR file:
```
ZnCrW2
1.0
-1.004 1.467 -3.984
-1.928 -1.824 -0.185
-3.933 2.635 1.961
Cr W Zn
1 2 1
Cartesian
-4.884 1.418 -0.635
-5.740 0.822 1.750
-1.947 0.982 -1.536
-3.087 0.270 0.878
```

## Properties
Formation energy, eV per atom: 0.239
Raw total energy, eV/atom: -8.962
Symmetry: Pm (6)
Total moment, μB/cell: 0.000


(7)
Mg5FeN4 | PBE | relaxed

POSCAR file:
```
Mg5FeN4
1.0
-3.765 -0.222 -3.558
-3.302 -4.456 3.773
-3.432 5.335 3.298
Mg Fe N
10 2 8
Cartesian
-4.698 0.316 -0.721
-6.057 2.430 0.586
-6.329 -1.885 1.143
-7.689 0.229 2.450
-2.434 -0.099 0.698
-4.507 3.122 2.689
-4.105 -2.354 2.607
-6.178 0.867 4.598
-4.424 0.377 2.537
-2.708 -0.160 -2.559
-2.795 2.604 0.629
-4.337 -2.387 -0.652
-4.403 -0.709 4.316
-2.717 1.565 2.391
-6.032 -3.530 -0.566
-4.415 -1.348 -2.413
-4.378 -1.008 0.942
-6.097 1.666 2.594
-2.754 1.225 -0.964
-4.467 3.887 0.681
```

## Properties
Uncorrected formation energy, eV per atom: -0.44
Raw total energy, eV/atom: -5.413
Symmetry: Pmmn (59)
Total moment, μB/cell: 8.050


(8)
CuTeBr3 | PBE | relaxed

POSCAR file:
```
CuTeBr3
1.0
6.943 -0.420 0.277
3.255 6.419 1.797
3.675 4.234 9.558
Cu Te Br
2 2 6
Cartesian
10.071 6.123 4.961
3.802 4.110 6.670
7.804 6.398 9.970
6.069 3.835 1.662
9.436 5.656 7.256
6.240 8.258 8.691
5.596 4.024 8.365
4.437 4.577 4.376
7.633 1.975 2.941
8.277 6.209 3.267
```

## Properties
Uncorrected formation energy, eV per atom: -0.25
Raw total energy, eV/atom: -2.700
Symmetry: P-1 (2)
Total moment, μB/cell: 0.000